A geometry-optimized SrAl structure, computed with PBE-GGA.

Results
V   633.3 Å³ per cell
Density of states at the Fermi level   0.8511 states/eV/atom
Size of the total moment   0.01 μB/cell
Formation enthalpy at 0 K   -0.035 eV/atom

a = 11.8701 Å, b = 11.8701 Å, c = 4.4946 Å
α = 90.00°, β = 90.00°, γ = 90.00°
Space group I4/mmm (No. 139)
Unique sites:
Sr1 0.0000 0.2609 0.0000 (multiplicity 8)
Al1 0.2112 0.2112 0.5000 (multiplicity 8)